No. 1
A plane-wave DFT calculation with PBE-GGA was carried out for an optimized crystal structure of Ca2ZnPt2. Values from VASP.

Geometry as Quantum ESPRESSO input:
```
&SYSTEM
  ibrav = 0, nat = 5, ntyp = 3
/
ATOMIC_SPECIES
Pt 195.08 Pt.upf
Ca 40.08 Ca.upf
Zn 65.41 Zn.upf
CELL_PARAMETERS angstrom
-1.310 -3.329 1.338
2.188 -1.870 -2.512
6.517 -2.802 4.858
ATOMIC_POSITIONS crystal
Pt 0.750 0.250 0.500
Pt 0.250 0.750 0.500
Ca 0.614 0.614 0.772
Ca 0.386 0.386 0.228
Zn 0.000 0.000 0.000
```

Properties
Its space group is I4/mmm. As for the spin magnetization: 0.00 μB/f.u. The calculation puts the total DFT energy (no corrections) at -0.144 Ha/atom. For the formation energy, the calculation gives -0.44 eV per atom.

No. 2
A plane-wave DFT calculation with PBE-GGA was carried out for an optimized crystal structure of La3NdTh2N6. Values from VASP.

Geometry as Quantum ESPRESSO input:
```
&SYSTEM
  ibrav = 0, nat = 12, ntyp = 4
/
ATOMIC_SPECIES
N 14.01 N.upf
La 138.91 La.upf
Nd 144.24 Nd.upf
Th 232.04 Th.upf
CELL_PARAMETERS angstrom
-4.609 2.871 -3.397
4.185 -3.872 -2.917
-3.530 -4.384 3.097
ATOMIC_POSITIONS crystal
N 0.078 0.421 0.234
N 0.421 0.078 0.234
N 0.266 0.266 0.767
N 0.734 0.734 0.233
N 0.922 0.579 0.766
N 0.579 0.922 0.766
La 0.165 0.835 0.500
La 0.835 0.165 0.500
La 0.500 0.500 0.500
Nd 0.000 0.000 0.000
Th 0.333 0.667 0.000
Th 0.667 0.333 0.000
```

Properties
Its space group is C2/m. As for the spin magnetization: 0.00 μB/f.u. The calculation puts the total DFT energy (no corrections) at -0.313 Ha/atom.

No. 3
A plane-wave DFT calculation with PBE-GGA was carried out for an optimized crystal structure of Hg3SbAu. Values from VASP.

Geometry as Quantum ESPRESSO input:
```
&SYSTEM
  ibrav = 0, nat = 5, ntyp = 3
/
ATOMIC_SPECIES
Hg 200.59 Hg.upf
Sb 121.76 Sb.upf
Au 196.97 Au.upf
CELL_PARAMETERS angstrom
5.644 0.000 0.000
0.000 5.644 0.000
0.000 0.000 5.644
ATOMIC_POSITIONS crystal
Hg 0.500 0.000 0.000
Hg 0.000 0.000 0.500
Hg 0.000 0.500 0.000
Sb 0.000 0.000 0.000
Au 0.500 0.500 0.500
```

Properties
Its space group is Pm-3m. As for the spin magnetization: 0.00 μB/f.u. The calculation puts the total DFT energy (no corrections) at -0.046 Ha/atom.

No. 4
A plane-wave DFT calculation with PBE-GGA was carried out for an optimized crystal structure of NaBeAs. Values from VASP.

Geometry as Quantum ESPRESSO input:
```
&SYSTEM
  ibrav = 0, nat = 6, ntyp = 3
/
ATOMIC_SPECIES
Be 9.01 Be.upf
As 74.92 As.upf
Na 22.99 Na.upf
CELL_PARAMETERS angstrom
3.596 0.139 -0.964
-0.400 3.576 -0.964
0.233 0.271 8.098
ATOMIC_POSITIONS crystal
Be 0.500 0.000 0.000
Be 0.000 0.500 0.000
As 0.102 0.102 0.204
As 0.898 0.898 0.796
Na 0.681 0.681 0.362
Na 0.319 0.319 0.638
```

Properties
Its space group is I4/mmm. As for the spin magnetization: 0.00 μB/f.u. The calculation puts the total DFT energy (no corrections) at -0.123 Ha/atom. For the formation energy, the calculation gives -0.11 eV per atom.

No. 5
A plane-wave DFT calculation with PBE-GGA was carried out for an optimized crystal structure of SrYB. Values from VASP.

Geometry as Quantum ESPRESSO input:
```
&SYSTEM
  ibrav = 0, nat = 6, ntyp = 3
/
ATOMIC_SPECIES
Sr 87.62 Sr.upf
B 10.81 B.upf
Y 88.91 Y.upf
CELL_PARAMETERS angstrom
3.604 -0.003 0.000
1.793 7.569 -0.005
-1.788 0.057 6.512
ATOMIC_POSITIONS crystal
Sr 0.328 0.265 0.672
Sr 0.929 0.543 0.162
B 0.051 0.998 0.857
B 0.205 0.809 0.977
Y 0.690 0.012 0.149
Y 0.567 0.796 0.685
```

Properties
Its space group is P-1. As for the spin magnetization: 0.00 μB/f.u. The calculation puts the total DFT energy (no corrections) at -0.180 Ha/atom. For the formation energy, the calculation gives 0.04 eV per atom.

No. 6
A plane-wave DFT calculation with PBE-GGA was carried out for an optimized crystal structure of SrIn2Cl. Values from VASP.

Geometry as Quantum ESPRESSO input:
```
&SYSTEM
  ibrav = 0, nat = 4, ntyp = 3
/
ATOMIC_SPECIES
Cl 35.45 Cl.upf
In 114.82 In.upf
Sr 87.62 Sr.upf
CELL_PARAMETERS angstrom
-4.770 -4.558 7.741
-3.239 -7.607 5.925
-1.107 -5.580 8.432
ATOMIC_POSITIONS crystal
Cl 0.750 0.750 0.750
In 0.010 0.010 0.010
In 0.490 0.490 0.490
Sr 0.250 0.250 0.250
```

Properties
Its space group is R-3m. As for the spin magnetization: 0.00 μB/f.u. The calculation puts the total DFT energy (no corrections) at -0.095 Ha/atom.